1.
## K2AgRuF6 (GGA-PBE)

Data for a relaxed structure of K2AgRuF6.

Lattice parameters (Å, degrees): 6.0946 8.7876 6.3945 90.00 90.00 90.00
With the nearest neighbours (Å) after each atom.
Positions (direct):
K 0.2500 0.0121 0.2256  9 F 2.88-3.08
K 0.2500 0.4879 0.2256  9 F 2.88-3.08
K 0.7500 0.5121 0.7744  9 F 2.88-3.08
K 0.7500 0.9879 0.7744  9 F 2.88-3.08
Ag 0.2500 0.2500 0.7252  6 F 2.37-2.41
Ag 0.7500 0.7500 0.2748  6 F 2.37-2.41
Ru 0.2500 0.7500 0.7710  6 F 2.03
Ru 0.7500 0.2500 0.2290  6 F 2.03
F 0.0102 0.7500 0.5507  1 Ru 2.03
F 0.0149 0.7500 0.9958  1 Ru 2.03
F 0.2500 0.5190 0.7779  1 Ru 2.03
F 0.2500 0.9810 0.7779  1 Ru 2.03
F 0.4851 0.7500 0.9958  1 Ru 2.03
F 0.4898 0.7500 0.5507  1 Ru 2.03
F 0.5102 0.2500 0.4493  1 Ru 2.03
F 0.5149 0.2500 0.0042  1 Ru 2.03
F 0.7500 0.0190 0.2221  1 Ru 2.03
F 0.7500 0.4810 0.2221  1 Ru 2.03
F 0.9851 0.2500 0.0042  1 Ru 2.03
F 0.9898 0.2500 0.4493  1 Ru 2.03

DOS at the Fermi energy ... 21.76 states/eV per cell
Formation energy without anion corrections ... -1975 meV per atom

2.
## KAg2SbF8 (GGA-PBE)

Data for a relaxed structure of KAg2SbF8.

Lattice parameters (Å, degrees): 4.6494 8.0348 5.7975 90.00 98.08 90.00
With the nearest neighbours (Å) after each atom.
Positions (direct):
K 0.0000 0.0000 0.0000  8 F 2.68-2.95
Ag 0.5000 0.2206 0.5000  2 F 2.28
Ag 0.5000 0.7794 0.5000  2 F 2.28
Sb 0.0000 0.5000 0.0000  6 F 1.92-1.94
F 0.1884 0.3272 0.8475  1 Sb 1.92
F 0.1884 0.6728 0.8475  1 Sb 1.92
F 0.3047 0.5000 0.2654  1 Sb 1.94
F 0.4734 0.0000 0.7441  2 Ag 2.28
F 0.5266 0.0000 0.2559  2 Ag 2.28
F 0.6953 0.5000 0.7346  1 Sb 1.94
F 0.8116 0.3272 0.1525  1 Sb 1.92
F 0.8116 0.6728 0.1525  1 Sb 1.92

Formation energy without anion corrections ... -1951 meV per atom

3.
## KScAgF5 (GGA-PBE)

Data for a relaxed structure of KScAgF5.

Lattice parameters (Å, degrees): 6.3070 6.3070 7.8075 96.17 96.17 115.84
With the nearest neighbours (Å) after each atom.
Positions (direct):
K 0.1639 0.8361 0.7500  5 F 2.69-2.98
K 0.8361 0.1639 0.2500  5 F 2.69-2.98
Sc 0.5000 0.5000 0.0000  6 F 2.01-2.07
Sc 0.5000 0.5000 0.5000  6 F 2.01-2.07
Ag 0.1662 0.8338 0.2500  4 F 2.33-2.36
Ag 0.8338 0.1662 0.7500  4 F 2.33-2.36
F 0.1486 0.2655 0.9783  1 Sc 2.03
F 0.2237 0.5632 0.4139  1 Sc 2.01
F 0.2655 0.1486 0.4783  1 Sc 2.03
F 0.4347 0.5653 0.7500  2 Sc 2.07
F 0.4368 0.7763 0.0861  1 Sc 2.01
F 0.5632 0.2237 0.9139  1 Sc 2.01
F 0.5653 0.4347 0.2500  2 Sc 2.07
F 0.7345 0.8514 0.5217  1 Sc 2.03
F 0.7763 0.4368 0.5861  1 Sc 2.01
F 0.8514 0.7345 0.0217  1 Sc 2.03

DOS at the Fermi energy ... 0.00 states/eV per cell
Formation energy without anion corrections ... -2943 meV per atom

4.
## KScAg2F8 (GGA-PBE)

Data for a relaxed structure of KScAg2F8.

Lattice parameters (Å, degrees): 5.7105 5.7105 7.3256 90.00 90.00 120.00
With the nearest neighbours (Å) after each atom.
Positions (direct):
K 0.0000 0.0000 0.0000  12 F 3.05-3.35
Sc 0.0000 0.0000 0.5000  6 F 2.03
Ag 0.3333 0.6667 0.6428  1 F 2.01
Ag 0.6667 0.3333 0.3572  1 F 2.01
F 0.0611 0.7402 0.3466  1 Sc 2.03
F 0.2598 0.3209 0.3466  1 Sc 2.03
F 0.3209 0.0611 0.6534  1 Sc 2.03
F 0.3333 0.6667 0.9178  1 Ag 2.01
F 0.6667 0.3333 0.0822  1 Ag 2.01
F 0.6791 0.9389 0.3466  1 Sc 2.03
F 0.7402 0.6791 0.6534  1 Sc 2.03
F 0.9389 0.2598 0.6534  1 Sc 2.03

Formation energy without anion corrections ... -2200 meV per atom

5.
## K3ScAg2F9 (GGA-PBE)

Data for a relaxed structure of K3ScAg2F9.

Lattice parameters (Å, degrees): 6.2520 6.2520 7.6832 90.00 90.00 120.00
With the nearest neighbours (Å) after each atom.
Positions (direct):
K 0.0000 0.0000 0.0000  12 F 3.12-3.13
K 0.3333 0.6667 0.7134  9 F 2.85-3.16
K 0.6667 0.3333 0.2866  9 F 2.85-3.16
Sc 0.0000 0.0000 0.5000  6 F 2.03
Ag 0.3333 0.6667 0.1771  6 F 2.26-2.35
Ag 0.6667 0.3333 0.8229  6 F 2.26-2.35
F 0.0000 0.5000 0.0000  2 Ag 2.26
F 0.1519 0.3037 0.3455  1 Sc 2.03
F 0.1519 0.8481 0.3455  1 Sc 2.03
F 0.3037 0.1519 0.6545  1 Sc 2.03
F 0.5000 0.0000 0.0000  2 Ag 2.26
F 0.5000 0.5000 0.0000  2 Ag 2.26
F 0.6963 0.8481 0.3455  1 Sc 2.03
F 0.8481 0.1519 0.6545  1 Sc 2.03
F 0.8481 0.6963 0.6545  1 Sc 2.03

DOS at the Fermi energy ... 3.03 states/eV per cell
Formation energy without anion corrections ... -2564 meV per atom

6.
## KSiAg2F8 (GGA-PBE)

Data for a relaxed structure of KSiAg2F8.

Lattice parameters (Å, degrees): 5.3707 5.3707 7.5763 90.00 90.00 120.00
With the nearest neighbours (Å) after each atom.
Positions (direct):
K 0.0000 0.0000 0.0000  12 F 3.13-3.15
Si 0.0000 0.0000 0.5000  6 F 1.72
Ag 0.3333 0.6667 0.3466  1 F 2.07
Ag 0.6667 0.3333 0.6534  1 F 2.07
F 0.1509 0.3017 0.6306  1 Si 1.72
F 0.1509 0.8491 0.6306  1 Si 1.72
F 0.3017 0.1509 0.3694  1 Si 1.72
F 0.3333 0.6667 0.0739  1 Ag 2.07
F 0.6667 0.3333 0.9261  1 Ag 2.07
F 0.6983 0.8491 0.6306  1 Si 1.72
F 0.8491 0.1509 0.3694  1 Si 1.72
F 0.8491 0.6983 0.3694  1 Si 1.72

DOS at the Fermi energy ... 4.65 states/eV per cell
Formation energy without anion corrections ... -2168 meV per atom

no.,V (Å³/cell)
1,342
2,214
3,274
4,207
5,260
6,189